# NiPNO2 PBE with a Hubbard U relaxed
data_NiPNO2
_cell_length_a 3.991
_cell_length_b 3.991
_cell_length_c 3.433
_cell_angle_alpha 90.00
_cell_angle_beta 90.00
_cell_angle_gamma 90.00
_space_group_name_H-M_alt 'P 4/m m m'
_space_group_IT_number 123
_space_group_name_Hall '-P 4 2'
loop_
_atom_site_label
_atom_site_fract_x
_atom_site_fract_y
_atom_site_fract_z
_atom_site_occupancy
Ni1 0.000 0.000 0.000 1
P1 0.500 0.500 0.000 1
N1 0.500 0.500 0.500 1
O1 0.000 0.500 0.500 1
# - total moment (Bohr magnetons per cell) = 1.68
# - raw total energy (eV/atom) = -3.977